A plane-wave DFT calculation with PBE was carried out for crystalline PmPaBeO6 at its relaxed geometry.

abc: 5.3025 5.3025 4.8451
angles: 90.00 90.00 120.00
Fractional positions:
Pm  0.0000  0.0000  0.0000
Pa  0.6667  0.3333  0.5000
Be  0.3333  0.6667  0.0000
O  0.0248  0.3974  0.2307
O  0.0248  0.6274  0.7693
O  0.3726  0.3974  0.7693
O  0.3726  0.9752  0.2307
O  0.6026  0.6274  0.2307
O  0.6026  0.9752  0.7693

Properties
**V**: 117.97 Å³/cell
**Space group**: P312
**Raw total energy**: -69.93 eV per formula unit
**Energy relative to the elements, uncorrected**: -2.468 eV per atom

A plane-wave DFT calculation with PBE was carried out for crystalline BeCu2Pd2 at its relaxed geometry.

abc: 2.7859 2.7859 16.0443
angles: 90.00 90.00 90.00
Fractional positions:
Be  0.0000  0.0000  0.0000
Be  0.5000  0.5000  0.5000
Cu  0.0000  0.0000  0.2018
Cu  0.0000  0.0000  0.7982
Cu  0.5000  0.5000  0.2982
Cu  0.5000  0.5000  0.7018
Pd  0.0000  0.0000  0.4117
Pd  0.0000  0.0000  0.5883
Pd  0.5000  0.5000  0.0883
Pd  0.5000  0.5000  0.9117

Properties
**V**: 124.52 Å³/cell
**Space group**: I4/mmm
**Raw total energy**: -23.93 eV per formula unit
**Energy relative to the lowest polymorph listed for this composition**: 0 meV per atom

A plane-wave DFT calculation with PBE was carried out for crystalline ZnIn2Bi at its relaxed geometry.

abc: 8.3299 8.3299 6.1633
angles: 90.00 90.00 90.00
Fractional positions:
Zn  0.0000  0.0000  0.0000
Zn  0.0000  0.5000  0.2500
Zn  0.5000  0.0000  0.7500
Zn  0.5000  0.5000  0.5000
In  0.2217  0.2500  0.1250
In  0.2500  0.7217  0.3750
In  0.2500  0.7783  0.8750
In  0.2783  0.2500  0.6250
In  0.7217  0.7500  0.6250
In  0.7500  0.2217  0.8750
In  0.7500  0.2783  0.3750
In  0.7783  0.7500  0.1250
Bi  0.0000  0.0000  0.5000
Bi  0.0000  0.5000  0.7500
Bi  0.5000  0.0000  0.2500
Bi  0.5000  0.5000  0.0000

Properties
**V**: 427.65 Å³/cell
**Space group**: I-42d
**Raw total energy**: -10.17 eV per formula unit
**Energy relative to the lowest polymorph listed for this composition**: 42 meV per atom

A plane-wave DFT calculation with PBE was carried out for crystalline Rb2LiUSe6 at its relaxed geometry.

abc: 7.5143 7.5143 7.5068
angles: 119.92 119.92 90.00
Fractional positions:
Rb  0.2499  0.7501  0.0000
Rb  0.7501  0.2499  0.0000
Li  0.0000  0.0000  0.5000
U  0.5000  0.5000  0.5000
Se  0.2502  0.2502  0.9999
Se  0.2498  0.2498  0.5005
Se  0.2495  0.7505  0.5000
Se  0.7505  0.2495  0.5000
Se  0.7498  0.7498  0.0001
Se  0.7502  0.7502  0.4995

Properties
**V**: 300.48 Å³/cell
**Space group**: C2/m
**Raw total energy**: -44.67 eV per formula unit
**Energy relative to the elements, uncorrected**: -0.863 eV per atom

A plane-wave DFT calculation with PBE was carried out for crystalline Zr2InP at its relaxed geometry.

abc: 7.4604 7.4604 6.1454
angles: 90.00 90.00 90.00
Fractional positions:
Zr  0.2146  0.2500  0.1250
Zr  0.2500  0.7146  0.3750
Zr  0.2500  0.7854  0.8750
Zr  0.2854  0.2500  0.6250
Zr  0.7146  0.7500  0.6250
Zr  0.7500  0.2146  0.8750
Zr  0.7500  0.2854  0.3750
Zr  0.7854  0.7500  0.1250
In  0.0000  0.0000  0.5000
In  0.0000  0.5000  0.7500
In  0.5000  0.0000  0.2500
In  0.5000  0.5000  0.0000
P  0.0000  0.0000  0.0000
P  0.0000  0.5000  0.2500
P  0.5000  0.0000  0.7500
P  0.5000  0.5000  0.5000

Properties
**V**: 342.04 Å³/cell
**Space group**: I-42d
**Raw total energy**: -27.19 eV per formula unit
**Energy relative to the lowest polymorph listed for this composition**: 364 meV per atom

A plane-wave DFT calculation with PBE was carried out for crystalline Ba2Sn3Pt4Au at its relaxed geometry.

abc: 4.7807 4.7807 10.7428
angles: 90.00 90.00 90.00
Fractional positions:
Ba  0.0000  0.5000  0.2468
Ba  0.5000  0.0000  0.7532
Sn  0.0000  0.0000  0.0000
Sn  0.0000  0.5000  0.6182
Sn  0.5000  0.0000  0.3818
Pt  0.0000  0.0000  0.5000
Pt  0.0000  0.5000  0.8675
Pt  0.5000  0.0000  0.1325
Pt  0.5000  0.5000  0.5000
Au  0.5000  0.5000  0.0000

Properties
**V**: 245.53 Å³/cell
**Space group**: P-4m2
**Raw total energy**: -50.39 eV per formula unit